Version P
! Nd4ZnIn3 PBE-GGA optimized geometry; values from VASP
! DOS at the Fermi energy	7.32	states/eV/cell
! symmetry	No. 25
&SYSTEM
  ibrav = 0, nat = 8, ntyp = 3
/
ATOMIC_SPECIES
Nd 144.24 Nd.upf
Zn 65.41 Zn.upf
In 114.82 In.upf
ATOMIC_POSITIONS angstrom
Nd 0.0000 0.0000 0.0000
Nd 0.0000 2.4189 3.6679
Nd 1.9488 0.0000 5.9615
Nd 1.9488 2.4189 9.9092
Zn 1.9488 0.0000 2.7165
In 0.0000 0.0000 8.9089
In 0.0000 2.4189 7.0348
In 1.9488 2.4189 0.9476
CELL_PARAMETERS angstrom
3.8977 0.0000 0.0000
0.0000 4.8379 0.0000
0.0000 0.0000 12.3367

=====

Version Q
! Nd4ZnIn3 PBE-GGA optimized geometry; values from VASP
! DOS at the Fermi energy	5.64	states/eV/cell
! symmetry	No. 123
&SYSTEM
  ibrav = 0, nat = 8, ntyp = 3
/
ATOMIC_SPECIES
Nd 144.24 Nd.upf
Zn 65.41 Zn.upf
In 114.82 In.upf
ATOMIC_POSITIONS angstrom
Nd 0.0000 0.0000 1.7831
Nd 0.0000 0.0000 5.9597
Nd 0.0000 0.0000 10.1607
Nd 0.0000 0.0000 14.3373
Zn 1.8679 1.8679 0.0000
In 1.8679 1.8679 3.8508
In 1.8679 1.8679 8.0602
In 1.8679 1.8679 12.2696
CELL_PARAMETERS angstrom
3.7359 0.0000 0.0000
0.0000 3.7359 0.0000
0.0000 0.0000 16.1204

=====

Name the most stable of them. version Q.

=====

Version P
! Nd6ZnIn3 PBE-GGA optimized geometry; values from VASP
! DOS at the Fermi energy	25.46	states/eV/cell
! symmetry	No. 58
&SYSTEM
  ibrav = 0, nat = 20, ntyp = 3
/
ATOMIC_SPECIES
Nd 144.24 Nd.upf
Zn 65.41 Zn.upf
In 114.82 In.upf
ATOMIC_POSITIONS angstrom
Nd 0.0226 2.9295 0.0000
Nd 1.5007 0.9835 2.7073
Nd 1.6446 5.0439 2.7073
Nd 3.0621 11.0590 0.0000
Nd 3.2059 6.9986 0.0000
Nd 4.6840 8.9446 2.7073
Nd 4.7293 3.0856 2.7073
Nd 6.2074 5.0316 0.0000
Nd 6.3512 0.9712 0.0000
Nd 7.7688 6.9862 2.7073
Nd 7.9126 11.0466 2.7073
Nd 9.3907 9.1006 0.0000
Zn 0.0000 0.0000 0.0000
Zn 4.7067 6.0151 2.7073
In 0.0000 6.0151 0.0000
In 1.5526 8.9737 2.7073
In 3.1541 2.9586 0.0000
In 4.7067 0.0000 2.7073
In 6.2592 9.0715 0.0000
In 7.8608 3.0565 2.7073
CELL_PARAMETERS angstrom
9.4134 0.0000 0.0000
0.0000 12.0301 0.0000
0.0000 0.0000 5.4147

=====

Version Q
! Nd6ZnIn3 PBE-GGA optimized geometry; values from VASP
! DOS at the Fermi energy	20.27	states/eV/cell
! symmetry	No. 11
&SYSTEM
  ibrav = 0, nat = 20, ntyp = 3
/
ATOMIC_SPECIES
Nd 144.24 Nd.upf
Zn 65.41 Zn.upf
In 114.82 In.upf
ATOMIC_POSITIONS angstrom
Nd -1.1996 1.3519 4.6938
Nd 0.9655 4.0558 1.9542
Nd 2.4724 1.3519 0.0354
Nd 0.3698 4.0558 9.3441
Nd 2.2279 1.3519 3.9560
Nd 1.5551 1.3519 7.1548
Nd 4.2812 4.0558 4.2540
Nd 3.6084 4.0558 7.4528
Nd 5.4665 1.3519 2.0647
Nd 3.3639 4.0558 11.3734
Nd 4.8709 1.3519 9.4546
Nd 7.0360 4.0558 6.7150
Zn 4.0198 4.0558 1.1217
Zn 1.8166 1.3519 10.2871
In -2.9203 4.0558 10.0316
In -1.4881 1.3519 8.2363
In 0.8347 4.0558 5.3810
In 5.0016 1.3519 6.0278
In 7.3244 4.0558 3.1725
In 8.7566 1.3519 1.3772
CELL_PARAMETERS angstrom
9.5136 0.0000 0.0000
0.0000 5.4078 0.0000
-3.6772 0.0000 11.4088

=====

Name the most stable of them. version Q.

=====

Version P
! Nd8ZnIn2 PBE-GGA optimized geometry; values from VASP
! DOS at the Fermi energy	12.27	states/eV/cell
! symmetry	No. 12
&SYSTEM
  ibrav = 0, nat = 11, ntyp = 3
/
ATOMIC_SPECIES
Nd 144.24 Nd.upf
Zn 65.41 Zn.upf
In 114.82 In.upf
ATOMIC_POSITIONS angstrom
Nd 0.4536 0.0000 1.8541
Nd 3.8811 0.0000 0.7462
Nd 5.9989 0.0000 4.0500
Nd 7.5677 0.0000 0.6466
Nd 10.6325 0.0000 6.2190
Nd 12.2013 0.0000 2.8157
Nd 14.3191 0.0000 6.1195
Nd 17.7467 0.0000 5.0115
Zn 9.1001 0.0000 3.4328
In 2.6579 0.0000 4.5121
In 15.5423 0.0000 2.3536
CELL_PARAMETERS angstrom
9.2738 -2.7180 0.0000
9.2738 2.7180 0.0000
-0.3474 0.0000 6.8657

=====

Version Q
! Nd8ZnIn2 PBE-GGA optimized geometry; values from VASP
! DOS at the Fermi energy	11.33	states/eV/cell
! symmetry	No. 12
&SYSTEM
  ibrav = 0, nat = 11, ntyp = 3
/
ATOMIC_SPECIES
Nd 144.24 Nd.upf
Zn 65.41 Zn.upf
In 114.82 In.upf
ATOMIC_POSITIONS angstrom
Nd -0.2458 0.0000 1.8324
Nd 2.5679 0.0000 5.3344
Nd 5.7494 0.0000 3.5017
Nd 7.8066 0.0000 0.2432
Nd 9.7108 0.0000 6.4482
Nd 11.7680 0.0000 3.1898
Nd 14.9495 0.0000 1.3571
Nd 17.7631 0.0000 4.8591
Zn 8.7587 0.0000 3.3457
In 3.0579 0.0000 1.6080
In 14.4595 0.0000 5.0835
CELL_PARAMETERS angstrom
9.6598 -2.6730 0.0000
9.6598 2.6730 0.0000
-1.8023 0.0000 6.6915

=====

Name the most stable of them. version P.